# PBE HoU, optimized geometry
# Energy of formation = 448 meV per atom
# Offset from the most stable computed form = 13 meV/atom
data_HoU
_chemical_formula_sum 'Ho1 U1'
_cell_length_a 3.2096
_cell_length_b 3.2096
_cell_length_c 5.7299
_cell_angle_alpha 90.00
_cell_angle_beta 90.00
_cell_angle_gamma 120.00
_symmetry_space_group_name_H-M 'P -6 m 2'
_symmetry_Int_Tables_number 187
_symmetry_space_group_name_Hall 'P -6 2'
loop_
_atom_site_label
_atom_site_fract_x
_atom_site_fract_y
_atom_site_fract_z
Ho1 0.0000 0.0000 0.0000
U1 0.6667 0.3333 0.5000


# PBE TmFe5P3, optimized geometry
# Uncorrected energy = -7.6670 eV/atom
data_TmFe5P3
_chemical_formula_sum 'Tm4 Fe20 P12'
_cell_length_a 11.7507
_cell_length_b 3.6289
_cell_length_c 10.2324
_cell_angle_alpha 90.00
_cell_angle_beta 90.00
_cell_angle_gamma 90.00
_symmetry_space_group_name_H-M 'P n m a'
_symmetry_Int_Tables_number 62
_symmetry_space_group_name_Hall '-P 2ac 2n'
loop_
_atom_site_label
_atom_site_fract_x
_atom_site_fract_y
_atom_site_fract_z
Tm1 0.2045 0.2500 0.0807
Fe1 0.0100 0.7500 0.0946
Fe2 0.0111 0.7500 0.7080
Fe3 0.0676 0.7500 0.4635
Fe4 0.1766 0.2500 0.7806
Fe5 0.2016 0.2500 0.3761
P1 0.1042 0.7500 0.8997
P2 0.1134 0.2500 0.5782
P3 0.1285 0.7500 0.2651